An optimized crystal structure of Rb2AlFeO4. Source: Alexandria via LeMat-Bulk, functional GGA+U.

Cell lengths 12.0016, 10.6304, 6.6368 Å; angles 84.71, 61.88, 33.41 degrees
Closest atoms and distances in Å follow each position.
Element x y z (fractional)
Rb 0.0494 0.0494 0.7006  8 O 3.09-3.43
Rb 0.2994 0.2994 0.9506  8 O 3.09-3.43
Rb 0.7006 0.7006 0.0494  8 O 3.09-3.43
Rb 0.9506 0.9506 0.2994  8 O 3.09-3.43
Al 0.1250 0.1250 0.1250  4 O 1.79
Al 0.8750 0.8750 0.8750  4 O 1.79
Fe 0.3750 0.3750 0.3750  4 O 1.92
Fe 0.6250 0.6250 0.6250  4 O 1.92
O 0.0189 0.3196 0.3921  1 Al 1.79, 1 Fe 1.92
O 0.2307 0.6079 0.6804  1 Al 1.79, 1 Fe 1.92
O 0.3196 0.0189 0.7693  1 Al 1.79, 1 Fe 1.92
O 0.3921 0.7693 0.0189  1 Al 1.79, 1 Fe 1.92
O 0.6079 0.2307 0.9811  1 Al 1.79, 1 Fe 1.92
O 0.6804 0.9811 0.2307  1 Al 1.79, 1 Fe 1.92
O 0.7693 0.3921 0.3196  1 Al 1.79, 1 Fe 1.92
O 0.9811 0.6804 0.6079  1 Al 1.79, 1 Fe 1.92

For the density of states at the Fermi level, the calculation gives 0.0000 states/eV per atom. The total DFT energy (no corrections) comes out at -5.7850 eV per atom. The symmetry is Fddd, No. 70. The magnetic moment is 0.625 μB per atom.